First-principles (PBE-GGA) data for an optimized crystal structure of NaCu2Bi2, as listed in the Alexandria database.

```
NaCu2Bi2
1.0
8.0353 0.0000 0.0000
0.0000 8.0353 0.0000
0.0000 0.0000 3.4446
Bi Cu Na
4 4 2
direct
0.3206 0.1794 0.5000
0.1794 0.6794 0.5000
0.6794 0.8206 0.5000
0.8206 0.3206 0.5000
0.8882 0.6118 0.0000
0.3882 0.8882 0.0000
0.6118 0.1118 0.0000
0.1118 0.3882 0.0000
0.5000 0.5000 0.0000
0.0000 0.0000 0.0000
```

Calculated values
Energy above the most stable polymorph in this dataset: 0.008 eV per atom
Crystal system: tetragonal
Formation energy from the elements: 63.7 meV per atom



First-principles (PBE-GGA) data for an optimized crystal structure of Cd2HgRu, as listed in the Alexandria database.

```
Cd2HgRu
1.0
-4.0584 -1.0400 2.2653
-0.3552 -2.4775 -1.7739
2.6870 -2.8855 3.4892
Ru Cd Hg
1 2 1
direct
0.5000 0.6248 0.7941
0.0000 0.1248 0.9458
0.5000 0.1252 0.2863
0.0000 0.6251 0.4739
```

Calculated values
Crystal system: orthorhombic
Formation energy from the elements: 304.6 meV per atom



First-principles (PBE-GGA) data for an optimized crystal structure of K2PaBe2S6, as listed in the Alexandria database.

```
K2PaBe2S6
1.0
-0.1188 -3.0876 6.3171
5.9814 -0.8998 3.5869
1.1040 4.6979 6.2311
S Be K Pa
6 2 2 1
direct
0.2500 0.7393 0.7607
0.7500 0.7500 0.2393
0.7393 0.2500 0.7607
0.2607 0.7500 0.2393
0.2500 0.2500 0.7607
0.7500 0.2607 0.2393
0.5896 0.5896 0.2311
0.4104 0.4104 0.7689
0.2193 0.2193 0.3420
0.7807 0.7807 0.6580
0.0000 0.0000 0.0000
```

Calculated values
Crystal system: trigonal
E_form (uncorrected): -1.0983 eV/atom